Record 1
# Dy2CdC

Dy2CdC after structural relaxation (PBE, the Alexandria database).

```
Dy2CdC
1.0
3.534 0.000 0.000
-1.767 3.061 0.000
0.000 0.000 8.336
Dy Cd C
2 1 1
direct
0.000 0.000 0.173 Dy
0.000 0.000 0.827 Dy
0.333 0.667 0.500 Cd
0.667 0.333 0.000 C
```

Values from the calculation:
* DFT total energy: -4.886 eV/atom
* calculated volume: 90.17 Å³/cell
* total magnetic moment: 0.00 μB/cell
* DOS at the Fermi energy: 3.0 states/eV/cell

---

Record 2
# HfTa2MnS

HfTa2MnS after structural relaxation (PBE, the Alexandria database).

```
HfTa2MnS
1.0
4.810 0.000 0.000
0.000 4.810 0.000
0.000 0.000 4.010
Hf Ta Mn S
1 2 1 1
direct
0.000 0.000 0.000 Hf
0.000 0.500 0.500 Ta
0.500 0.000 0.500 Ta
0.500 0.500 0.500 Mn
0.500 0.500 0.000 S
```

Values from the calculation:
* DFT total energy: -8.776 eV/atom
* formation energy (no corrections): 0.615 eV per atom
* calculated volume: 92.79 Å³/cell
* total magnetic moment: 0.00 μB/cell
* DOS at the Fermi energy: 5.0 states/eV/cell

---

Record 3
# Sm7ErTh3

Sm7ErTh3 after structural relaxation (PBE, the Alexandria database).

```
Sm7ErTh3
1.0
7.152 0.000 0.000
-3.576 6.194 0.000
0.000 0.000 8.633
Sm Er Th
7 1 3
direct
0.000 0.000 0.000 Sm
0.165 0.331 0.348 Sm
0.165 0.835 0.348 Sm
0.502 0.003 0.006 Sm
0.502 0.498 0.006 Sm
0.669 0.835 0.348 Sm
0.997 0.498 0.006 Sm
0.667 0.333 0.351 Er
0.335 0.168 0.676 Th
0.832 0.168 0.676 Th
0.832 0.665 0.676 Th
```

Values from the calculation:
* DFT total energy: -5.227 eV/atom
* calculated volume: 382.44 Å³/cell
* total magnetic moment: 0.00 μB/cell
* DOS at the Fermi energy: 16.2 states/eV/cell

---

Record 4
# TbTm3ThSc

TbTm3ThSc after structural relaxation (PBE, the Alexandria database).

```
TbTm3ThSc
1.0
2.461 -7.321 0.000
2.461 7.321 0.000
0.000 0.000 9.959
Tb Tm Th Sc
2 6 2 2
direct
0.000 0.000 0.000 Tb
0.000 0.000 0.500 Tb
0.169 0.831 0.750 Tm
0.334 0.666 0.001 Tm
0.334 0.666 0.499 Tm
0.666 0.334 0.501 Tm
0.666 0.334 0.999 Tm
0.831 0.169 0.250 Tm
0.497 0.503 0.750 Th
0.503 0.497 0.250 Th
0.166 0.834 0.250 Sc
0.834 0.166 0.750 Sc
```

Values from the calculation:
* DFT total energy: -5.250 eV/atom
* calculated volume: 358.85 Å³/cell
* total magnetic moment: 0.00 μB/cell
* DOS at the Fermi energy: 20.0 states/eV/cell

---

Record 5
# V12Co3As5

V12Co3As5 after structural relaxation (PBE, the Alexandria database).

```
V12Co3As5
1.0
-7.016 7.016 7.016
7.016 -7.016 7.016
7.016 7.016 -7.016
V Co As
48 12 20
direct
0.067 0.645 0.406 V
0.067 0.922 0.661 V
0.078 0.239 0.145 V
0.078 0.339 0.933 V
0.094 0.739 0.661 V
0.094 0.855 0.433 V
0.145 0.078 0.239 V
0.145 0.567 0.906 V
0.161 0.239 0.594 V
0.161 0.422 0.567 V
0.239 0.145 0.078 V
0.239 0.594 0.161 V
0.261 0.339 0.906 V
0.261 0.422 0.355 V
0.339 0.906 0.261 V
0.339 0.933 0.078 V
0.355 0.261 0.422 V
0.355 0.594 0.933 V
0.406 0.067 0.645 V
0.406 0.839 0.761 V
0.422 0.355 0.261 V
0.422 0.567 0.161 V
0.433 0.094 0.855 V
0.433 0.839 0.578 V
0.567 0.161 0.422 V
0.567 0.906 0.145 V
0.578 0.433 0.839 V
0.578 0.645 0.739 V
0.594 0.161 0.239 V
0.594 0.933 0.355 V
0.645 0.406 0.067 V
0.645 0.739 0.578 V
0.661 0.067 0.922 V
0.661 0.094 0.739 V
0.739 0.578 0.645 V
0.739 0.661 0.094 V
0.761 0.406 0.839 V
0.761 0.855 0.922 V
0.839 0.578 0.433 V
0.839 0.761 0.406 V
0.855 0.433 0.094 V
0.855 0.922 0.761 V
0.906 0.145 0.567 V
0.906 0.261 0.339 V
0.922 0.661 0.067 V
0.922 0.761 0.855 V
0.933 0.078 0.339 V
0.933 0.355 0.594 V
0.125 0.250 0.375 Co
0.125 0.375 0.750 Co
0.250 0.375 0.125 Co
0.250 0.875 0.625 Co
0.375 0.125 0.250 Co
0.375 0.750 0.125 Co
0.625 0.250 0.875 Co
0.625 0.875 0.750 Co
0.750 0.125 0.375 Co
0.750 0.625 0.875 Co
0.875 0.625 0.250 Co
0.875 0.750 0.625 Co
0.000 0.000 0.000 As
0.000 0.000 0.500 As
0.000 0.500 0.000 As
0.000 0.500 0.500 As
0.125 0.750 0.875 As
0.125 0.875 0.250 As
0.250 0.125 0.875 As
0.250 0.625 0.375 As
0.375 0.250 0.625 As
0.375 0.625 0.750 As
0.500 0.000 0.000 As
0.500 0.000 0.500 As
0.500 0.500 0.000 As
0.500 0.500 0.500 As
0.625 0.375 0.250 As
0.625 0.750 0.375 As
0.750 0.375 0.625 As
0.750 0.875 0.125 As
0.875 0.125 0.750 As
0.875 0.250 0.125 As
```

Values from the calculation:
* DFT total energy: -7.344 eV/atom
* calculated volume: 1381.68 Å³/cell
* total magnetic moment: 0.00 μB/cell
* DOS at the Fermi energy: 113.4 states/eV/cell

---

Record 6
# Nd3YTl

Nd3YTl after structural relaxation (PBE, the Alexandria database).

```
Nd3YTl
1.0
2.452 -13.073 0.000
2.452 13.073 0.000
0.000 0.000 4.912
Nd Y Tl
6 2 2
direct
0.053 0.947 0.750 Nd
0.251 0.749 0.750 Nd
0.446 0.554 0.750 Nd
0.554 0.446 0.250 Nd
0.749 0.251 0.250 Nd
0.947 0.053 0.250 Nd
0.349 0.651 0.250 Y
0.651 0.349 0.750 Y
0.153 0.847 0.250 Tl
0.847 0.153 0.750 Tl
```

Values from the calculation:
* DFT total energy: -4.761 eV/atom
* calculated volume: 314.85 Å³/cell
* total magnetic moment: 0.00 μB/cell
* DOS at the Fermi energy: 12.4 states/eV/cell
* distance to the lowest polymorph of the same formula: 0.0000 eV/atom

---

Record 7
# Ba2NaPb

Ba2NaPb after structural relaxation (PBE, the Alexandria database).

```
Ba2NaPb
1.0
-2.786 2.786 12.102
2.786 -2.786 12.102
2.786 2.786 -12.102
Ba Na Pb
4 2 2
direct
0.106 0.625 0.981 Ba
0.375 0.356 0.481 Ba
0.644 0.125 0.019 Ba
0.875 0.894 0.519 Ba
0.250 0.750 0.500 Na
0.500 0.500 0.000 Na
0.000 0.000 0.000 Pb
0.750 0.250 0.500 Pb
```

Values from the calculation:
* DFT total energy: -2.155 eV/atom
* calculated volume: 375.84 Å³/cell
* total magnetic moment: 0.00 μB/cell
* DOS at the Fermi energy: 12.0 states/eV/cell

---

Record 8
# LiHgBr2

LiHgBr2 after structural relaxation (PBE, the Alexandria database).

```
LiHgBr2
1.0
1.989 -3.716 0.000
1.989 3.716 0.000
0.000 0.000 8.028
Li Hg Br
1 1 2
direct
0.000 0.000 0.000 Li
0.000 0.000 0.500 Hg
0.500 0.500 0.211 Br
0.500 0.500 0.789 Br
```

Values from the calculation:
* DFT total energy: -2.074 eV/atom
* formation energy (no corrections): -0.684 eV per atom
* calculated volume: 118.67 Å³/cell
* total magnetic moment: 0.00 μB/cell
* DOS at the Fermi energy: 2.1 states/eV/cell
* distance to the lowest polymorph of the same formula: 0.1161 eV/atom